1.
VASP calculation (GGA-PBE) on a geometry-optimized Np2SnPd9 structure.

Cell lengths 4.1189, 4.1189, 12.2796 Å; angles 90.00, 90.00, 90.00 degrees
Closest atoms and distances in Å follow each position.
Atoms (fractional coordinates):
Np (0.0000, 0.0000, 0.1697)  12 Pd 2.91-2.93
Np (0.0000, 0.0000, 0.8303)  12 Pd 2.91-2.93
Sn (0.0000, 0.0000, 0.5000)  12 Pd 2.87-2.91
Pd (0.0000, 0.5000, 0.0000)  8 Pd 2.91-2.94, 4 Np 2.93
Pd (0.0000, 0.5000, 0.3375)  2 Sn 2.87, 8 Pd 2.87-2.91, 2 Np 2.91
Pd (0.0000, 0.5000, 0.6625)  2 Sn 2.87, 8 Pd 2.87-2.91, 2 Np 2.91
Pd (0.5000, 0.0000, 0.0000)  8 Pd 2.91-2.94, 4 Np 2.93
Pd (0.5000, 0.0000, 0.3375)  2 Sn 2.87, 8 Pd 2.87-2.91, 2 Np 2.91
Pd (0.5000, 0.0000, 0.6625)  2 Sn 2.87, 8 Pd 2.87-2.91, 2 Np 2.91
Pd (0.5000, 0.5000, 0.1705)  8 Pd 2.91-2.94, 4 Np 2.91
Pd (0.5000, 0.5000, 0.5000)  8 Pd 2.87, 4 Sn 2.91
Pd (0.5000, 0.5000, 0.8295)  8 Pd 2.91-2.94, 4 Np 2.91

Calculated values
Uncorrected energy   -6.839 eV/atom
ρ   12.36 Mg/m³
Formation energy   -0.4537 eV/atom

---

2.
VASP calculation (GGA-PBE) on a geometry-optimized MgTa2Au structure.

Cell lengths 3.6616, 3.6616, 5.4699 Å; angles 90.00, 90.00, 90.00 degrees
Closest atoms and distances in Å follow each position.
Atoms (fractional coordinates):
Mg (0.0000, 0.0000, 0.0000)  2 Au 2.73, 8 Ta 2.95
Ta (0.5000, 0.5000, 0.2602)  2 Ta 2.62-2.85, 4 Au 2.90
Ta (0.5000, 0.5000, 0.7398)  2 Ta 2.62-2.85, 4 Au 2.90
Au (0.0000, 0.0000, 0.5000)  2 Mg 2.73, 8 Ta 2.90

Calculated values
Uncorrected energy   -6.876 eV/atom
ρ   13.20 Mg/m³
Formation energy   0.2682 eV/atom

---

3.
VASP calculation (GGA-PBE) on a geometry-optimized Cs2UTa6Cl15O3 structure.

Cell lengths 9.2213, 9.2213, 18.0674 Å; angles 90.00, 90.00, 120.00 degrees
Closest atoms and distances in Å follow each position.
Atoms (fractional coordinates):
Cs (0.3333, 0.6667, 0.0384)  9 Cl 3.61-3.81
Cs (0.3333, 0.6667, 0.4616)  9 Cl 3.61-3.81
Cs (0.6667, 0.3333, 0.5384)  9 Cl 3.61-3.81
Cs (0.6667, 0.3333, 0.9616)  9 Cl 3.61-3.81
U (0.3333, 0.6667, 0.7500)  3 O 2.33
U (0.6667, 0.3333, 0.2500)  3 O 2.33
Ta (0.0140, 0.1923, 0.8139)  1 O 2.01
Ta (0.0140, 0.8217, 0.6861)  1 O 2.01
Ta (0.1783, 0.1923, 0.6861)  1 O 2.01
Ta (0.1783, 0.9860, 0.8139)  1 O 2.01
Ta (0.1923, 0.0140, 0.3139)  1 O 2.01
Ta (0.1923, 0.1783, 0.1861)  1 O 2.01
Ta (0.8077, 0.8217, 0.8139)  1 O 2.01
Ta (0.8077, 0.9860, 0.6861)  1 O 2.01
Ta (0.8217, 0.0140, 0.1861)  1 O 2.01
Ta (0.8217, 0.8077, 0.3139)  1 O 2.01
Ta (0.9860, 0.1783, 0.3139)  1 O 2.01
Ta (0.9860, 0.8077, 0.1861)  1 O 2.01
Cl (0.0158, 0.2186, 0.0931)  2 Ta 2.49
Cl (0.0158, 0.7971, 0.4069)  2 Ta 2.49
Cl (0.0736, 0.4693, 0.8786)  1 Ta 2.61, 1 O 2.86
Cl (0.0736, 0.6043, 0.6214)  1 Ta 2.61, 1 O 2.86
Cl (0.2029, 0.2186, 0.4069)  2 Ta 2.49
Cl (0.2029, 0.9842, 0.0931)  2 Ta 2.49
Cl (0.2120, 0.4241, 0.2500)  2 Ta 2.47
Cl (0.2120, 0.7880, 0.2500)  2 Ta 2.47
Cl (0.2186, 0.0158, 0.5931)  2 Ta 2.49
Cl (0.2186, 0.2029, 0.9069)  2 Ta 2.49
Cl (0.3957, 0.4693, 0.6214)  1 Ta 2.61, 1 O 2.86
Cl (0.3957, 0.9264, 0.8786)  1 Ta 2.61, 1 O 2.86
Cl (0.4241, 0.2120, 0.7500)  2 Ta 2.47
Cl (0.4693, 0.0736, 0.3786)  1 Ta 2.61, 1 O 2.86
Cl (0.4693, 0.3957, 0.1214)  1 Ta 2.61, 1 O 2.86
Cl (0.5307, 0.6043, 0.8786)  1 Ta 2.61, 1 O 2.86
Cl (0.5307, 0.9264, 0.6214)  1 Ta 2.61, 1 O 2.86
Cl (0.5759, 0.7880, 0.2500)  2 Ta 2.47
Cl (0.6043, 0.0736, 0.1214)  1 Ta 2.61, 1 O 2.86
Cl (0.6043, 0.5307, 0.3786)  1 Ta 2.61, 1 O 2.86
Cl (0.7814, 0.7971, 0.0931)  2 Ta 2.49
Cl (0.7814, 0.9842, 0.4069)  2 Ta 2.49
Cl (0.7880, 0.2120, 0.7500)  2 Ta 2.47
Cl (0.7880, 0.5759, 0.7500)  2 Ta 2.47
Cl (0.7971, 0.0158, 0.9069)  2 Ta 2.49
Cl (0.7971, 0.7814, 0.5931)  2 Ta 2.49
Cl (0.9264, 0.3957, 0.3786)  1 Ta 2.61, 1 O 2.86
Cl (0.9264, 0.5307, 0.1214)  1 Ta 2.61, 1 O 2.86
Cl (0.9842, 0.2029, 0.5931)  2 Ta 2.49
Cl (0.9842, 0.7814, 0.9069)  2 Ta 2.49
O (0.1874, 0.3748, 0.7500)  2 Ta 2.01
O (0.1874, 0.8126, 0.7500)  2 Ta 2.01
O (0.3748, 0.1874, 0.2500)  2 Ta 2.01
O (0.6252, 0.8126, 0.7500)  2 Ta 2.01
O (0.8126, 0.1874, 0.2500)  2 Ta 2.01
O (0.8126, 0.6252, 0.2500)  2 Ta 2.01

Calculated values
Uncorrected energy   -6.386 eV/atom
ρ   5.41 Mg/m³
Uncorrected formation energy   -1.69 eV per atom

---

4.
VASP calculation (GGA-PBE) on a geometry-optimized KCa2Re structure.

Cell lengths 4.5941, 4.5941, 10.1198 Å; angles 92.48, 92.48, 39.28 degrees
Closest atoms and distances in Å follow each position.
Atoms (fractional coordinates):
K (0.0000, 0.0000, 0.0000)  2 K 3.09
Ca (0.2331, 0.2331, 0.6629)  3 Re 2.90-2.98, 2 Ca 3.09
Ca (0.7669, 0.7669, 0.3371)  3 Re 2.90-2.98, 2 Ca 3.09
Re (0.5000, 0.5000, 0.5000)  6 Ca 2.90-2.98, 2 Re 3.09

Calculated values
E above lowest polymorph   163 meV per atom
Uncorrected energy   -3.533 eV/atom
ρ   3.76 Mg/m³
Formation energy   0.8541 eV/atom